{
  "formula": "Tl2InSe",
  "functional": "GGA-PBE",
  "state": "optimized geometry",
  "magmom_total_mub_per_cell": 0.00,
  "total_energy_ev_per_atom": -2.97,
  "sg": "R3m, No. 160",
  "cell": [[9.2148, 0.0005, 0.0003], [8.3552, 3.8862, 0.0003], [8.3552, 1.8483, 3.4185]],
  "species": ["Tl", "Tl", "Se", "In"],
  "fractional_positions": [[0.2449, 0.2449, 0.2449], [0.0105, 0.0105, 0.0105], [0.7584, 0.7584, 0.7584], [0.4861, 0.4861, 0.4861]]
}


{
  "formula": "CeTl3S3",
  "functional": "GGA-PBE",
  "state": "optimized geometry",
  "magmom_total_mub_per_cell": 1.82,
  "total_energy_ev_per_atom": -4.59,
  "sg": "P2_1/m, No. 11",
  "cell": [[-1.1139, -3.0801, 2.6036], [4.3826, -5.7803, -4.9633], [10.1875, 1.6150, 6.2691]],
  "species": ["Ce", "Ce", "Tl", "Tl", "Tl", "Tl", "Tl", "Tl", "S", "S", "S", "S", "S", "S"],
  "fractional_positions": [[0.2500, 0.8807, 0.3780], [0.7500, 0.1193, 0.6220], [0.2500, 0.3791, 0.3664], [0.7500, 0.1404, 0.1254], [0.2500, 0.8596, 0.8746], [0.2500, 0.3400, 0.8616], [0.7500, 0.6209, 0.6336], [0.7500, 0.6600, 0.1384], [0.7500, 0.0992, 0.3873], [0.2500, 0.8990, 0.1464], [0.2500, 0.9008, 0.6127], [0.2500, 0.3360, 0.6149], [0.7500, 0.6640, 0.3851], [0.7500, 0.1010, 0.8536]]
}


{
  "formula": "ZrHgPb2",
  "functional": "GGA-PBE",
  "state": "optimized geometry",
  "magmom_total_mub_per_cell": 0.00,
  "total_energy_ev_per_atom": -4.04,
  "ef_ev_per_fu": 0.11,
  "sg": "Pmm2, No. 25",
  "cell": [[3.5069, 0.0000, 0.0000], [0.0000, 4.4760, 0.0000], [0.0000, 0.0000, 6.5258]],
  "species": ["Pb", "Pb", "Zr", "Hg"],
  "fractional_positions": [[0.0000, 0.0000, 0.9799], [0.5000, 0.5000, 0.2782], [0.0000, 0.0000, 0.4991], [0.5000, 0.5000, 0.7427]]
}


{
  "formula": "PaTi4",
  "functional": "GGA-PBE",
  "state": "optimized geometry",
  "magmom_total_mub_per_cell": 0.00,
  "total_energy_ev_per_atom": -8.16,
  "ef_ev_per_fu": 0.25,
  "sg": "I4/m, No. 87",
  "cell": [[3.2764, 0.0000, 1.2232], [1.6382, 5.0997, 0.6116], [-0.1454, 0.0000, 5.3892]],
  "species": ["Ti", "Ti", "Ti", "Ti", "Pa"],
  "fractional_positions": [[0.1951, 0.2032, 0.4066], [0.8049, 0.7968, 0.5934], [0.6017, 0.5934, 0.2032], [0.3983, 0.4066, 0.7968], [0.0000, 0.0000, 0.0000]]
}


{
  "formula": "Y3InSi",
  "functional": "GGA-PBE",
  "state": "optimized geometry",
  "magmom_total_mub_per_cell": 0.00,
  "total_energy_ev_per_atom": -5.84,
  "sg": "Pm-3m, No. 221",
  "cell": [[-2.7723, -3.2028, 3.2921], [0.7562, -4.1111, -3.3628], [4.5304, -1.2737, 2.5758]],
  "species": ["Y", "Y", "Y", "In", "Si"],
  "fractional_positions": [[0.0000, 0.0000, 0.5000], [0.0000, 0.5000, 0.0000], [0.5000, 0.0000, 0.0000], [0.5000, 0.5000, 0.5000], [0.0000, 0.0000, 0.0000]]
}


{
  "formula": "BaIn2Hg2",
  "functional": "GGA-PBE",
  "state": "optimized geometry",
  "magmom_total_mub_per_cell": 0.00,
  "total_energy_ev_per_atom": -1.80,
  "ef_ev_per_fu": -1.01,
  "sg": "P4/mbm, No. 127",
  "cell": [[-5.4280, -6.1580, 3.4651], [6.7175, -3.1419, 4.9391], [-0.9411, 2.4139, 2.8155]],
  "species": ["Ba", "Ba", "Hg", "Hg", "Hg", "Hg", "In", "In", "In", "In"],
  "fractional_positions": [[0.0000, 0.0000, 0.0000], [0.5000, 0.5000, 0.0000], [0.6299, 0.1299, 0.0000], [0.8701, 0.6299, 0.0000], [0.1299, 0.3701, 0.0000], [0.3701, 0.8701, 0.0000], [0.8376, 0.3376, 0.5000], [0.3376, 0.1624, 0.5000], [0.6624, 0.8376, 0.5000], [0.1624, 0.6624, 0.5000]]
}